# PBE Tl2Si, optimized geometry
# electronic total energy	-3.16	eV per atom
# magnetic moment	0.00	Bohr magnetons per cell
# Fermi-level density of states	5.0	states/eV/cell
# V	27.019	A^3/atom
# formation energy from raw total energies	224	meV/atom
# ΔE to the lowest computed polymorph	18	meV per atom
data_Tl2Si
_chemical_formula_sum 'Tl8 Si4'
_cell_length_a 11.5235
_cell_length_b 3.6702
_cell_length_c 8.0668
_cell_angle_alpha 90.00
_cell_angle_beta 108.14
_cell_angle_gamma 90.00
_space_group_name_H-M_alt 'C 1 2/m 1'
_space_group_IT_number 12
loop_
_space_group_symop_operation_xyz
'x,y,z'
'-x,-y,-z'
'-x,y,-z'
'x,-y,z'
'x+1/2,y+1/2,z'
'-x+1/2,-y+1/2,-z'
'-x+1/2,y+1/2,-z'
'x+1/2,-y+1/2,z'
loop_
_atom_site_label
_atom_site_type_symbol
_atom_site_fract_x
_atom_site_fract_y
_atom_site_fract_z
Tl1 Tl 0.0256 0.0000 0.2098
Tl2 Tl 0.1632 0.5000 0.6180
Si1 Si 0.2011 0.5000 0.0426

# PBE Tl2Si, optimized geometry
# electronic total energy	-3.04	eV per atom
# magnetic moment	0.00	Bohr magnetons per cell
# Fermi-level density of states	5.9	states/eV/cell
# V	27.214	A^3/atom
# formation energy from raw total energies	340	meV/atom
# ΔE to the lowest computed polymorph	135	meV per atom
data_Tl2Si
_chemical_formula_sum 'Tl8 Si4'
_cell_length_a 15.1681
_cell_length_b 3.1803
_cell_length_c 7.0078
_cell_angle_alpha 90.00
_cell_angle_beta 104.97
_cell_angle_gamma 90.00
_space_group_name_H-M_alt 'C 1 2/m 1'
_space_group_IT_number 12
loop_
_space_group_symop_operation_xyz
'x,y,z'
'-x,-y,-z'
'-x,y,-z'
'x,-y,z'
'x+1/2,y+1/2,z'
'-x+1/2,-y+1/2,-z'
'-x+1/2,y+1/2,-z'
'x+1/2,-y+1/2,z'
loop_
_atom_site_label
_atom_site_type_symbol
_atom_site_fract_x
_atom_site_fract_y
_atom_site_fract_z
Tl1 Tl 0.1220 0.0000 0.0731
Tl2 Tl 0.1734 0.0000 0.6247
Si1 Si 0.0046 0.5000 0.3297

# PBE TlSi, optimized geometry
# electronic total energy	-3.45	eV per atom
# magnetic moment	0.00	Bohr magnetons per cell
# Fermi-level density of states	8.3	states/eV/cell
# V	30.546	A^3/atom
# formation energy from raw total energies	442	meV/atom
data_TlSi
_chemical_formula_sum 'Tl8 Si8'
_cell_length_a 11.5525
_cell_length_b 11.5525
_cell_length_c 3.6620
_cell_angle_alpha 90.00
_cell_angle_beta 90.00
_cell_angle_gamma 90.00
_space_group_name_H-M_alt 'I 4/m m m'
_space_group_IT_number 139
_space_group_name_Hall '-I 4 2'
loop_
_atom_site_label
_atom_site_type_symbol
_atom_site_fract_x
_atom_site_fract_y
_atom_site_fract_z
Tl1 Tl 0.0000 0.2684 0.0000
Si1 Si 0.2041 0.2041 0.5000

# PBE TlSi2, optimized geometry
# electronic total energy	-4.00	eV per atom
# magnetic moment	0.00	Bohr magnetons per cell
# Fermi-level density of states	1.8	states/eV/cell
# V	22.658	A^3/atom
# formation energy from raw total energies	400	meV/atom
# ΔE to the lowest computed polymorph	164	meV per atom
data_TlSi2
_chemical_formula_sum 'Tl1 Si2'
_cell_length_a 3.4637
_cell_length_b 3.4637
_cell_length_c 5.6656
_cell_angle_alpha 90.00
_cell_angle_beta 90.00
_cell_angle_gamma 90.00
_space_group_name_H-M_alt 'P 4/m m m'
_space_group_IT_number 123
_space_group_name_Hall '-P 4 2'
loop_
_atom_site_label
_atom_site_type_symbol
_atom_site_fract_x
_atom_site_fract_y
_atom_site_fract_z
Tl1 Tl 0.0000 0.0000 0.0000
Si1 Si 0.0000 0.5000 0.5000

# PBE Tl2Si, optimized geometry
# electronic total energy	-3.14	eV per atom
# magnetic moment	0.00	Bohr magnetons per cell
# Fermi-level density of states	4.7	states/eV/cell
# V	29.290	A^3/atom
# formation energy from raw total energies	243	meV/atom
# ΔE to the lowest computed polymorph	37	meV per atom
data_Tl2Si
_chemical_formula_sum 'Tl8 Si4'
_cell_length_a 15.1001
_cell_length_b 6.2147
_cell_length_c 3.7454
_cell_angle_alpha 90.00
_cell_angle_beta 90.00
_cell_angle_gamma 90.00
_space_group_name_H-M_alt 'C m c m'
_space_group_IT_number 63
_space_group_name_Hall '-C 2c 2'
loop_
_atom_site_label
_atom_site_type_symbol
_atom_site_fract_x
_atom_site_fract_y
_atom_site_fract_z
Tl1 Tl 0.1480 0.2427 0.2500
Si1 Si 0.0000 0.3779 0.7500

# PBE TlSi, optimized geometry
# electronic total energy	-3.52	eV per atom
# magnetic moment	0.00	Bohr magnetons per cell
# Fermi-level density of states	4.7	states/eV/cell
# V	25.454	A^3/atom
# formation energy from raw total energies	377	meV/atom
data_TlSi
_chemical_formula_sum 'Tl6 Si6'
_cell_length_a 3.8147
_cell_length_b 10.9146
_cell_length_c 7.3362
_cell_angle_alpha 90.00
_cell_angle_beta 90.00
_cell_angle_gamma 90.00
_space_group_name_H-M_alt 'P m m n'
_space_group_IT_number 59
loop_
_space_group_symop_operation_xyz
'x,y,z'
'-x,-y,-z'
'-x+1/2,-y+1/2,z'
'x+1/2,y+1/2,-z'
'x+1/2,-y,-z'
'-x+1/2,y,z'
'-x,y+1/2,-z'
'x,-y+1/2,z'
loop_
_atom_site_label
_atom_site_type_symbol
_atom_site_fract_x
_atom_site_fract_y
_atom_site_fract_z
Tl1 Tl 0.2500 0.0931 0.1184
Tl2 Tl 0.2500 0.7500 0.5779
Si1 Si 0.2500 0.0412 0.5827
Si2 Si 0.2500 0.2500 0.7349

# PBE TlSi, optimized geometry
# electronic total energy	-3.74	eV per atom
# magnetic moment	0.00	Bohr magnetons per cell
# Fermi-level density of states	2.0	states/eV/cell
# V	26.272	A^3/atom
# formation energy from raw total energies	151	meV/atom
data_TlSi
_chemical_formula_sum 'Tl4 Si4'
_cell_length_a 6.5465
_cell_length_b 3.7855
_cell_length_c 8.7627
_cell_angle_alpha 90.00
_cell_angle_beta 104.57
_cell_angle_gamma 90.00
_space_group_name_H-M_alt 'C 1 2/m 1'
_space_group_IT_number 12
loop_
_space_group_symop_operation_xyz
'x,y,z'
'-x,-y,-z'
'-x,y,-z'
'x,-y,z'
'x+1/2,y+1/2,z'
'-x+1/2,-y+1/2,-z'
'-x+1/2,y+1/2,-z'
'x+1/2,-y+1/2,z'
loop_
_atom_site_label
_atom_site_type_symbol
_atom_site_fract_x
_atom_site_fract_y
_atom_site_fract_z
Tl1 Tl 0.2229 0.0000 0.1719
Si1 Si 0.1488 0.5000 0.4470

# PBE Tl2Si, optimized geometry
# electronic total energy	-3.08	eV per atom
# magnetic moment	0.00	Bohr magnetons per cell
# Fermi-level density of states	3.9	states/eV/cell
# V	26.051	A^3/atom
# formation energy from raw total energies	304	meV/atom
# ΔE to the lowest computed polymorph	98	meV per atom
data_Tl2Si
_chemical_formula_sum 'Tl8 Si4'
_cell_length_a 7.6423
_cell_length_b 7.6423
_cell_length_c 5.3525
_cell_angle_alpha 90.00
_cell_angle_beta 90.00
_cell_angle_gamma 90.00
_space_group_name_H-M_alt 'I 4/m c m'
_space_group_IT_number 140
_space_group_name_Hall '-I 4 2c'
loop_
_atom_site_label
_atom_site_type_symbol
_atom_site_fract_x
_atom_site_fract_y
_atom_site_fract_z
Tl1 Tl 0.1559 0.3441 0.0000
Si1 Si 0.0000 0.0000 0.2500

Q: Number 2 is which compound?
A: Tl2Si